Entry from Alexandria: ZrCuP2 after structural relaxation (PBE).

Cell and atoms, written as extended XYZ:
```
4
Lattice="0.000 3.170 3.170 3.170 0.000 3.170 3.170 3.170 0.000" Properties=species:S:1:pos:R:3 pbc="T T T"
Zr 3.170 3.170 3.170
Cu 0.000 0.000 0.000
P 1.585 1.585 1.585
P 4.755 4.755 4.755
```

Calculated values
Total magnetic moment: 0.0 Bohr magnetons per cell
ΔE_f: -244 meV per atom
N(E_F): 0.60 states/eV per atom
Crystal system: cubic
Electronic total energy: -6.11 eV per atom
SG: Fm-3m



Entry from Alexandria: ZrCu2P2 after structural relaxation (PBE).

Cell and atoms, written as extended XYZ:
```
5
Lattice="3.819 0.000 0.000 -1.909 3.307 0.000 0.000 0.000 6.189" Properties=species:S:1:pos:R:3 pbc="T T T"
Cu 1.909 1.102 2.223
P 1.909 1.102 4.631
Cu 0.000 2.205 3.966
P 0.000 2.205 1.558
Zr 0.000 0.000 0.000
```

Calculated values
Total magnetic moment: 0.0 Bohr magnetons per cell
ΔE_f: -662 meV per atom
N(E_F): 0.13 states/eV per atom
Crystal system: trigonal
Electronic total energy: -6.17 eV per atom
SG: P-3m1



Entry from Alexandria: Zr3Cu4P2 after structural relaxation (PBE).

Cell and atoms, written as extended XYZ:
```
9
Lattice="6.338 0.000 0.000 -3.169 5.489 0.000 0.000 0.000 3.926" Properties=species:S:1:pos:R:3 pbc="T T T"
Zr 0.524 5.489 1.963
Zr 4.491 3.198 1.963
P 3.169 1.829 0.000
Cu -0.784 1.358 0.000
Cu 1.568 0.000 0.000
Cu 2.385 4.131 0.000
Cu 0.000 0.000 1.963
P 0.000 3.659 0.000
Zr 1.323 2.291 1.963
```

Calculated values
Total magnetic moment: 0.0 Bohr magnetons per cell
ΔE_f: -669 meV per atom
N(E_F): 0.45 states/eV per atom
Crystal system: hexagonal
Electronic total energy: -6.54 eV per atom
SG: P-62m